Entry from the Alexandria database: a PBEsol-optimized structure of AuSeBr2 (meta-GGA SCAN).

```
AuSeBr2
1.0
3.596 0.000 0.000
-1.798 3.459 0.000
0.000 0.000 8.495
Br Se Au
2 1 1
Cartesian
1.798 0.000 2.433
0.000 0.000 8.022
0.000 0.000 4.543
1.798 0.000 6.239
```

Properties
The energy above the most stable polymorph in this dataset comes out at 0.0 meV/atom. The symmetry is Cmm2.

---

Entry from the Alexandria database: a PBEsol-optimized structure of Tc2OsSe (meta-GGA SCAN).

```
Tc2OsSe
1.0
-0.943 -2.635 0.705
4.220 -1.475 0.132
-0.208 1.228 4.314
Tc Os Se
2 1 1
Cartesian
1.638 -2.055 0.418
0.000 0.000 0.000
-0.576 -0.704 2.509
2.006 -0.124 2.223
```

Properties
The symmetry is P2/m.

---

no.,raw total energy (eV/atom),formation energy (no corrections) (eV/atom)
1,-32.018,0.02
2,-39.936,0.58